Here is crystalline Li2AcCd4In at its relaxed geometry from Alexandria. Energies are from PBE.

For the formation energy from the elements, the calculation gives -221 meV per atom. Its total energy is -2.012 eV/atom. As for the magnetization: 0.00 μB/cell.

It has space group R-3m (No. 166, hexagonal axes), with a = 4.7603 Å, b = 4.7603 Å, c = 30.5236 Å, α = 90.00°, β = 90.00° and γ = 120.00°. Symmetry generates all atoms from Li at (0.0000, 0.0000, 0.2298), Ac at (0.0000, 0.0000, 0.0000), Cd at (0.0000, 0.0000, 0.1195), Cd at (0.0000, 0.0000, 0.4006) and In at (0.0000, 0.0000, 0.5000).